No. 1
{"formula": "CdSiW", "functional": "PBE", "state": "relaxed", "lattice_angstrom": [[0.000, 3.006, 3.006], [3.006, 0.000, 3.006], [3.006, 3.006, 0.000]], "species": ["W", "Cd", "Si"], "frac_coords": [[0.750, 0.750, 0.750], [0.250, 0.250, 0.250], [0.000, 0.000, 0.000]], "vol_a3_per_cell": 54.3, "dft_energy_ev_per_atom": -5.685}

No. 2
{"formula": "SrSiAg2Se2S2", "functional": "PBE", "state": "relaxed", "lattice_angstrom": [[0.495, 6.029, 1.617], [-3.034, 1.346, 5.309], [5.554, -4.435, -0.317]], "species": ["Sr", "Ag", "Ag", "Se", "Se", "Si", "S", "S"], "frac_coords": [[0.002, 0.998, 0.500], [0.194, 0.198, 0.184], [0.802, 0.806, 0.816], [0.474, 0.847, 0.349], [0.153, 0.526, 0.651], [0.510, 0.490, 0.000], [0.845, 0.480, 0.983], [0.520, 0.155, 0.017]], "vol_a3_per_cell": 193.1, "dft_energy_ev_per_atom": -4.298}

No. 3
{"formula": "LaPuSn6", "functional": "PBE", "state": "relaxed", "lattice_angstrom": [[-3.356, 2.570, -2.203], [-0.004, -3.104, -3.617], [-6.723, -5.055, 4.345]], "species": ["Sn", "Sn", "Sn", "Sn", "Sn", "Sn", "Pu", "La"], "frac_coords": [[0.500, 0.000, 0.258], [0.000, 0.500, 0.258], [0.500, 0.000, 0.742], [0.000, 0.500, 0.742], [0.500, 0.500, 0.000], [0.500, 0.500, 0.500], [0.000, 0.000, 0.500], [0.000, 0.000, 0.000]], "vol_a3_per_cell": 215.1, "dft_energy_ev_per_atom": -5.887}

No. 4
{"formula": "AcNpTl", "functional": "PBE", "state": "relaxed", "lattice_angstrom": [[0.000, 3.858, 3.858], [3.858, 0.000, 3.858], [3.858, 3.858, 0.000]], "species": ["Ac", "Tl", "Np"], "frac_coords": [[0.250, 0.250, 0.250], [0.000, 0.000, 0.000], [0.750, 0.750, 0.750]], "vol_a3_per_cell": 114.9, "dft_energy_ev_per_atom": -5.882}

No. 5
{"formula": "Cs2TmFeC6N6", "functional": "PBE", "state": "relaxed", "lattice_angstrom": [[1.542, -7.371, 0.539], [-4.768, -4.600, 3.621], [-4.099, -5.008, -3.889]], "species": ["C", "C", "C", "C", "C", "C", "Tm", "N", "N", "N", "N", "N", "N", "Fe", "Cs", "Cs"], "frac_coords": [[0.826, 0.174, 0.174], [0.174, 0.826, 0.174], [0.826, 0.826, 0.174], [0.826, 0.174, 0.826], [0.174, 0.174, 0.826], [0.174, 0.826, 0.826], [0.500, 0.500, 0.500], [0.715, 0.715, 0.285], [0.285, 0.285, 0.715], [0.285, 0.715, 0.715], [0.715, 0.285, 0.285], [0.285, 0.715, 0.285], [0.715, 0.285, 0.715], [0.000, 0.000, 0.000], [0.250, 0.250, 0.250], [0.750, 0.750, 0.750]], "vol_a3_per_cell": 304.3, "dft_energy_ev_per_atom": -7.812}

No. 6
{"formula": "Er3Ga8Ag3", "functional": "PBE", "state": "relaxed", "lattice_angstrom": [[7.780, 2.611, 1.356], [-0.638, 8.171, -1.414], [-1.641, -6.644, 4.726]], "species": ["Ag", "Ag", "Ag", "Ga", "Ga", "Ga", "Ga", "Ga", "Ga", "Ga", "Ga", "Er", "Er", "Er"], "frac_coords": [[0.696, 0.000, 0.696], [0.304, 0.000, 0.304], [0.500, 0.500, 0.000], [0.711, 0.841, 0.870], [0.289, 0.159, 0.130], [0.028, 0.159, 0.870], [0.972, 0.841, 0.130], [0.426, 0.644, 0.782], [0.862, 0.644, 0.218], [0.574, 0.356, 0.218], [0.138, 0.356, 0.782], [0.000, 0.500, 0.500], [0.301, 0.801, 0.500], [0.699, 0.199, 0.500]], "vol_a3_per_cell": 265.2, "dft_energy_ev_per_atom": -3.749}

No. 7
{"formula": "SrSnAu", "functional": "PBE", "state": "relaxed", "lattice_angstrom": [[23.546, 0.000, 0.000], [0.000, 4.873, 0.000], [0.000, 0.000, 8.365]], "species": ["Sr", "Sr", "Sr", "Sr", "Sr", "Sr", "Sr", "Sr", "Sr", "Sr", "Sr", "Sr", "Sn", "Sn", "Sn", "Sn", "Sn", "Sn", "Sn", "Sn", "Sn", "Sn", "Sn", "Sn", "Au", "Au", "Au", "Au", "Au", "Au", "Au", "Au", "Au", "Au", "Au", "Au"], "frac_coords": [[0.166, 0.250, 0.792], [0.334, 0.750, 0.292], [0.002, 0.250, 0.712], [0.833, 0.250, 0.793], [0.834, 0.750, 0.208], [0.502, 0.250, 0.788], [0.998, 0.750, 0.288], [0.666, 0.250, 0.708], [0.498, 0.750, 0.212], [0.333, 0.250, 0.707], [0.167, 0.750, 0.207], [0.667, 0.750, 0.293], [0.398, 0.250, 0.084], [0.434, 0.750, 0.587], [0.269, 0.250, 0.082], [0.602, 0.750, 0.916], [0.566, 0.250, 0.413], [0.102, 0.750, 0.584], [0.769, 0.250, 0.418], [0.934, 0.750, 0.913], [0.898, 0.250, 0.416], [0.731, 0.750, 0.918], [0.231, 0.750, 0.582], [0.066, 0.250, 0.087], [0.239, 0.250, 0.413], [0.567, 0.750, 0.585], [0.594, 0.250, 0.087], [0.261, 0.750, 0.913], [0.433, 0.250, 0.415], [0.406, 0.750, 0.913], [0.933, 0.250, 0.085], [0.906, 0.750, 0.587], [0.761, 0.750, 0.587], [0.739, 0.250, 0.087], [0.094, 0.250, 0.413], [0.067, 0.750, 0.915]], "vol_a3_per_cell": 959.8, "dft_energy_ev_per_atom": -3.733}

No. 8
{"formula": "SrPrCuSeS2", "functional": "PBE", "state": "relaxed", "lattice_angstrom": [[2.020, -6.774, 0.000], [2.020, 6.774, 0.000], [0.000, 0.000, 10.857]], "species": ["S", "S", "S", "S", "Se", "Se", "Cu", "Cu", "Sr", "Sr", "Pr", "Pr"], "frac_coords": [[0.867, 0.133, 0.583], [0.133, 0.867, 0.417], [0.867, 0.133, 0.917], [0.133, 0.867, 0.083], [0.411, 0.589, 0.250], [0.589, 0.411, 0.750], [0.975, 0.025, 0.750], [0.025, 0.975, 0.250], [0.265, 0.735, 0.750], [0.735, 0.265, 0.250], [0.500, 0.500, 0.000], [0.500, 0.500, 0.500]], "vol_a3_per_cell": 297.1, "dft_energy_ev_per_atom": -5.259}

No. 9
{"formula": "Dy3Lu4Te2Pt2", "functional": "PBE", "state": "relaxed", "lattice_angstrom": [[1.444, -7.877, -4.702], [-6.841, 0.288, 6.273], [3.909, 1.376, -8.310]], "species": ["Te", "Te", "Lu", "Lu", "Lu", "Lu", "Pt", "Pt", "Dy", "Dy", "Dy"], "frac_coords": [[0.660, 0.660, 0.000], [0.268, 0.768, 0.500], [0.285, 0.417, 0.868], [0.549, 0.417, 0.132], [0.310, 0.627, 0.683], [0.944, 0.627, 0.317], [0.694, 0.933, 0.760], [0.173, 0.933, 0.240], [0.001, 0.001, 0.000], [0.911, 0.265, 0.646], [0.619, 0.265, 0.354]], "vol_a3_per_cell": 288.3, "dft_energy_ev_per_atom": -5.611}

No. 10
{"formula": "MgZn2Te3", "functional": "PBE", "state": "relaxed", "lattice_angstrom": [[1.983, -6.825, 0.000], [1.983, 6.825, 0.000], [0.000, 0.000, 11.648]], "species": ["Zn", "Zn", "Zn", "Zn", "Te", "Te", "Te", "Te", "Te", "Te", "Mg", "Mg"], "frac_coords": [[0.520, 0.480, 0.250], [0.000, 0.000, 0.000], [0.000, 0.000, 0.500], [0.480, 0.520, 0.750], [0.637, 0.363, 0.070], [0.363, 0.637, 0.930], [0.890, 0.110, 0.250], [0.637, 0.363, 0.430], [0.363, 0.637, 0.570], [0.110, 0.890, 0.750], [0.222, 0.778, 0.250], [0.778, 0.222, 0.750]], "vol_a3_per_cell": 315.4, "dft_energy_ev_per_atom": -2.565}

No. 11
{"formula": "BeCuTcBi", "functional": "PBE", "state": "relaxed", "lattice_angstrom": [[0.000, 3.151, 3.151], [3.151, 0.000, 3.151], [3.151, 3.151, 0.000]], "species": ["Cu", "Bi", "Be", "Tc"], "frac_coords": [[0.250, 0.250, 0.250], [0.000, 0.000, 0.000], [0.750, 0.750, 0.750], [0.500, 0.500, 0.500]], "vol_a3_per_cell": 62.6, "dft_energy_ev_per_atom": -4.704}

No. 12
{"formula": "AcNbRe", "functional": "PBE", "state": "relaxed", "lattice_angstrom": [[0.000, 3.364, 3.364], [3.364, 0.000, 3.364], [3.364, 3.364, 0.000]], "species": ["Nb", "Re", "Ac"], "frac_coords": [[0.750, 0.750, 0.750], [0.000, 0.000, 0.000], [0.250, 0.250, 0.250]], "vol_a3_per_cell": 76.1, "delta_e_f_ev_per_atom": 0.712, "dft_energy_ev_per_atom": -8.162}

No. 13
{"formula": "PrSn", "functional": "PBE", "state": "relaxed", "lattice_angstrom": [[-4.276, -0.511, 1.493], [-3.462, -0.012, -2.964], [-2.262, -3.865, -0.846]], "species": ["Sn", "Pr"], "frac_coords": [[0.500, 0.500, 0.500], [0.000, 0.000, 0.000]], "vol_a3_per_cell": 66.9, "dft_energy_ev_per_atom": -4.955}

No. 14
{"formula": "BiW2", "functional": "PBE", "state": "relaxed", "lattice_angstrom": [[4.578, 2.643, 7.475], [-4.578, 2.643, 7.475], [0.000, -5.286, 7.475]], "species": ["W", "W", "W", "W", "Bi", "Bi"], "frac_coords": [[0.875, 0.375, 0.375], [0.375, 0.375, 0.375], [0.375, 0.375, 0.875], [0.375, 0.875, 0.375], [0.250, 0.250, 0.250], [0.500, 0.500, 0.500]], "vol_a3_per_cell": 542.6, "dft_energy_ev_per_atom": -5.866}

No. 15
{"formula": "GdHo2Er", "functional": "PBE", "state": "relaxed", "lattice_angstrom": [[-2.847, -2.699, -4.009], [5.475, -4.575, -0.808], [0.241, -6.032, 3.890]], "species": ["Ho", "Ho", "Ho", "Ho", "Er", "Er", "Gd", "Gd"], "frac_coords": [[0.500, 0.167, 0.167], [0.000, 0.334, 0.833], [0.000, 0.833, 0.334], [0.000, 0.833, 0.833], [0.000, 0.333, 0.333], [0.500, 0.667, 0.667], [0.500, 0.666, 0.167], [0.500, 0.167, 0.666]], "vol_a3_per_cell": 250.5, "delta_e_f_ev_per_atom": 0.007, "dft_energy_ev_per_atom": -4.586}

No. 16
{"formula": "ScZnCoIr", "functional": "PBE", "state": "relaxed", "lattice_angstrom": [[0.000, 3.066, 3.066], [3.066, 0.000, 3.066], [3.066, 3.066, 0.000]], "species": ["Sc", "Zn", "Co", "Ir"], "frac_coords": [[0.500, 0.500, 0.500], [0.000, 0.000, 0.000], [0.750, 0.750, 0.750], [0.250, 0.250, 0.250]], "vol_a3_per_cell": 57.6, "delta_e_f_ev_per_atom": -0.394, "dft_energy_ev_per_atom": -6.283}

No. 17
{"formula": "YMgFeB", "functional": "PBE", "state": "relaxed", "lattice_angstrom": [[0.000, 3.108, 3.108], [3.108, 0.000, 3.108], [3.108, 3.108, 0.000]], "species": ["Y", "Fe", "B", "Mg"], "frac_coords": [[0.500, 0.500, 0.500], [0.750, 0.750, 0.750], [0.000, 0.000, 0.000], [0.250, 0.250, 0.250]], "vol_a3_per_cell": 60.0, "dft_energy_ev_per_atom": -5.042}

No. 18
{"formula": "FeAgAsOs", "functional": "PBE", "state": "relaxed", "lattice_angstrom": [[0.000, 3.090, 3.090], [3.090, 0.000, 3.090], [3.090, 3.090, 0.000]], "species": ["Fe", "Os", "Ag", "As"], "frac_coords": [[0.750, 0.750, 0.750], [0.250, 0.250, 0.250], [0.500, 0.500, 0.500], [0.000, 0.000, 0.000]], "vol_a3_per_cell": 59.0, "dft_energy_ev_per_atom": -6.176}

No. 19
{"formula": "YLuIr", "functional": "PBE", "state": "relaxed", "lattice_angstrom": [[-2.132, 1.179, -6.728], [-3.547, -2.786, 0.636], [-4.845, 6.792, 2.725]], "species": ["Lu", "Lu", "Lu", "Lu", "Y", "Y", "Y", "Y", "Ir", "Ir", "Ir", "Ir"], "frac_coords": [[0.008, 0.250, 0.158], [0.492, 0.750, 0.658], [0.992, 0.750, 0.842], [0.508, 0.250, 0.342], [0.143, 0.250, 0.583], [0.857, 0.750, 0.417], [0.643, 0.250, 0.917], [0.357, 0.750, 0.083], [0.765, 0.750, 0.094], [0.265, 0.750, 0.406], [0.235, 0.250, 0.906], [0.735, 0.250, 0.594]], "vol_a3_per_cell": 286.0, "delta_e_f_ev_per_atom": -0.727, "dft_energy_ev_per_atom": -7.341}

No. 20
{"formula": "KOs", "functional": "PBE", "state": "relaxed", "lattice_angstrom": [[2.998, -0.497, 4.568], [2.726, 4.332, 1.978], [-1.661, 2.399, 4.647]], "species": ["K", "Os"], "frac_coords": [[0.000, 0.000, 0.000], [0.250, 0.250, 0.250]], "vol_a3_per_cell": 116.8, "dft_energy_ev_per_atom": -2.875}